1.
# TbCeRh4, relaxed, DFT PBE
data_TbCeRh4
_cell_length_a 7.5717
_cell_length_b 7.5717
_cell_length_c 7.5717
_cell_angle_alpha 90.00
_cell_angle_beta 90.00
_cell_angle_gamma 90.00
_space_group_name_H-M_alt 'F -4 3 m'
_space_group_IT_number 216
_space_group_name_Hall 'F -4 2 3'
loop_
_atom_site_label
_atom_site_type_symbol
_atom_site_fract_x
_atom_site_fract_y
_atom_site_fract_z
Tb1 Tb 0.0000 0.0000 0.0000
Ce1 Ce 0.2500 0.2500 0.7500
Rh1 Rh 0.1252 0.1252 0.3748
# - Total DFT energy (no corrections): -176.98 eV for the cell shown
# - Density: 10874 kg/m3


2.
# TbCeRh, relaxed, DFT PBE
data_TbCeRh
_cell_length_a 4.5680
_cell_length_b 4.5680
_cell_length_c 4.0207
_cell_angle_alpha 90.00
_cell_angle_beta 90.00
_cell_angle_gamma 120.00
_space_group_name_H-M_alt 'P 3 m 1'
_space_group_IT_number 156
loop_
_space_group_symop_operation_xyz
'x,y,z'
'-y,x-y,z'
'-x+y,-x,z'
'-y,-x,z'
'-x+y,y,z'
'x,x-y,z'
loop_
_atom_site_label
_atom_site_type_symbol
_atom_site_fract_x
_atom_site_fract_y
_atom_site_fract_z
Tb1 Tb 0.0000 0.0000 0.0000
Ce1 Ce 0.6667 0.3333 0.4342
Rh1 Rh 0.3333 0.6667 0.7178
# - Offset from the most stable computed form: 0.131 eV per atom
# - Total DFT energy (no corrections): -18.90 eV for the cell shown
# - Density: 9186 kg/m3


3.
# Tb4CeRh3, relaxed, DFT PBE
data_Tb4CeRh3
_cell_length_a 11.1232
_cell_length_b 11.1232
_cell_length_c 6.0340
_cell_angle_alpha 90.00
_cell_angle_beta 90.00
_cell_angle_gamma 90.00
_space_group_name_H-M_alt 'I 4/m c m'
_space_group_IT_number 140
_space_group_name_Hall '-I 4 2c'
loop_
_atom_site_label
_atom_site_type_symbol
_atom_site_fract_x
_atom_site_fract_y
_atom_site_fract_z
Tb1 Tb 0.0838 0.2092 0.0000
Ce1 Ce 0.0000 0.5000 0.2500
Rh1 Rh 0.0000 0.0000 0.2500
Rh2 Rh 0.1556 0.3444 0.5000
# - Total DFT energy (no corrections): -206.78 eV for the cell shown
# - Density: 9649 kg/m3


4.
# Tb2Ce3Rh2, relaxed, DFT PBE
data_Tb2Ce3Rh2
_cell_length_a 11.3492
_cell_length_b 4.0538
_cell_length_c 8.6469
_cell_angle_alpha 90.00
_cell_angle_beta 115.61
_cell_angle_gamma 90.00
_space_group_name_H-M_alt 'C 1 2/m 1'
_space_group_IT_number 12
loop_
_space_group_symop_operation_xyz
'x,y,z'
'-x,-y,-z'
'-x,y,-z'
'x,-y,z'
'x+1/2,y+1/2,z'
'-x+1/2,-y+1/2,-z'
'-x+1/2,y+1/2,-z'
'x+1/2,-y+1/2,z'
loop_
_atom_site_label
_atom_site_type_symbol
_atom_site_fract_x
_atom_site_fract_y
_atom_site_fract_z
Tb1 Tb 0.1493 0.0000 0.3007
Ce1 Ce 0.0000 0.5000 0.5000
Ce2 Ce 0.1583 0.5000 0.9601
Rh1 Rh 0.1569 0.0000 0.6761
# - Total DFT energy (no corrections): -89.96 eV for the cell shown
# - Density: 8739 kg/m3


5.
# TbCe2Rh2, relaxed, DFT PBE
data_TbCe2Rh2
_cell_length_a 7.7777
_cell_length_b 7.7777
_cell_length_c 3.8428
_cell_angle_alpha 90.00
_cell_angle_beta 90.00
_cell_angle_gamma 90.00
_space_group_name_H-M_alt 'P 4/m b m'
_space_group_IT_number 127
_space_group_name_Hall '-P 4 2ab'
loop_
_atom_site_label
_atom_site_type_symbol
_atom_site_fract_x
_atom_site_fract_y
_atom_site_fract_z
Tb1 Tb 0.0000 0.0000 0.0000
Ce1 Ce 0.1639 0.3361 0.5000
Rh1 Rh 0.1407 0.6407 0.0000
# - Offset from the most stable computed form: 0.000 eV per atom
# - Total DFT energy (no corrections): -68.70 eV for the cell shown
# - Density: 9214 kg/m3


6.
# Tb2CeRh, relaxed, DFT PBE
data_Tb2CeRh
_cell_length_a 3.8036
_cell_length_b 3.8036
_cell_length_c 28.0562
_cell_angle_alpha 90.00
_cell_angle_beta 90.00
_cell_angle_gamma 120.00
_space_group_name_H-M_alt 'R 3 m'
_space_group_IT_number 160
_space_group_name_Hall 'R 3 -2"'
loop_
_atom_site_label
_atom_site_type_symbol
_atom_site_fract_x
_atom_site_fract_y
_atom_site_fract_z
Tb1 Tb 0.0000 0.0000 0.0000
Tb2 Tb 0.0000 0.0000 0.2152
Ce1 Ce 0.0000 0.0000 0.4424
Rh1 Rh 0.0000 0.0000 0.6073
# - Offset from the most stable computed form: 0.196 eV per atom
# - Total DFT energy (no corrections): -70.75 eV for the cell shown
# - Density: 7949 kg/m3


no.,ΔE_f (eV/atom)
1,-0.71
2,-0.33
3,-0.65
4,-0.46
5,-0.63
6,-0.26